No. 1
Compound: K3Rb8Au2
Source: the Alexandria database
Functional: PBE
Structure: relaxed

The formation energy is -0.0740 eV per atom. As for the space group: No. 10. The calculation puts the total magnetization at 0.0 μB/f.u.

Cell lengths 12.5411, 5.5364, 13.0309 Å; angles 90.00, 94.83, 90.00 degrees
Closest atoms and distances in Å follow each position.
Sites, in units of the cell vectors:
K  0.0000  0.0000  0.0000  6 Rb 4.43-4.90, 4 K 4.82
K  0.2937  0.5000  0.9138  8 Rb 4.80-5.11, 2 K 4.82
K  0.7063  0.5000  0.0862  8 Rb 4.80-5.11, 2 K 4.82
Rb  0.0924  0.0000  0.6417  2 Au 3.61-3.72
Rb  0.1410  0.5000  0.2394  2 Au 3.49
Rb  0.3305  0.5000  0.5283  2 Au 3.56
Rb  0.4285  0.0000  0.2279  1 Au 3.70
Rb  0.5715  0.0000  0.7721  1 Au 3.70
Rb  0.6695  0.5000  0.4717  2 Au 3.56
Rb  0.8590  0.5000  0.7606  2 Au 3.49
Rb  0.9076  0.0000  0.3583  2 Au 3.61-3.72
Au  0.2051  0.0000  0.3959  7 Rb 3.49-3.72
Au  0.7949  0.0000  0.6041  7 Rb 3.49-3.72

No. 2
Compound: Cr2In2Si
Source: the Alexandria database
Functional: PBE
Structure: relaxed

Its raw formation energy is 205 meV per atom. As for the space group: No. 127. The calculation puts the total magnetization at 0.3 μB/f.u.

Cell lengths 6.1218, 6.1218, 4.4085 Å; angles 90.00, 90.00, 90.00 degrees
Closest atoms and distances in Å follow each position.
Sites, in units of the cell vectors:
Cr  0.1298  0.3702  0.0000  1 Cr 2.25, 2 Si 2.40
Cr  0.3702  0.8702  0.0000  1 Cr 2.25, 2 Si 2.40
Cr  0.6298  0.1298  0.0000  1 Cr 2.25, 2 Si 2.40
Cr  0.8702  0.6298  0.0000  1 Cr 2.25, 2 Si 2.40
In  0.1722  0.6722  0.5000  6 Cr 2.79-2.89, 1 In 2.98
In  0.3278  0.1722  0.5000  6 Cr 2.79-2.89, 1 In 2.98
In  0.6722  0.8278  0.5000  6 Cr 2.79-2.89, 1 In 2.98
In  0.8278  0.3278  0.5000  6 Cr 2.79-2.89, 1 In 2.98
Si  0.0000  0.0000  0.0000  4 Cr 2.40
Si  0.5000  0.5000  0.0000  4 Cr 2.40

No. 3
Compound: K12Na3Cd
Source: the Alexandria database
Functional: PBE
Structure: relaxed

The formation energy is 0.0217 eV per atom. As for the space group: No. 123. The calculation puts the total magnetization at 0.0 μB/f.u.

Cell lengths 6.2279, 6.2279, 24.6173 Å; angles 90.00, 90.00, 90.00 degrees
Closest atoms and distances in Å follow each position.
Sites, in units of the cell vectors:
K  0.0000  0.0000  0.0000  8 K 4.16, 4 Cd 4.40
K  0.0000  0.0000  0.2414  4 Na 4.40, 8 K 4.46
K  0.0000  0.0000  0.5000  4 Na 4.40, 8 K 4.45
K  0.0000  0.0000  0.7586  4 Na 4.40, 8 K 4.46
K  0.0000  0.5000  0.1120  2 Cd 4.16, 8 K 4.16-4.46, 2 Na 4.48
K  0.0000  0.5000  0.3711  8 K 4.40-4.46, 4 Na 4.43-4.45
K  0.0000  0.5000  0.6289  8 K 4.40-4.46, 4 Na 4.43-4.45
K  0.0000  0.5000  0.8880  2 Cd 4.16, 8 K 4.16-4.46, 2 Na 4.48
K  0.5000  0.0000  0.1120  2 Cd 4.16, 8 K 4.16-4.46, 2 Na 4.48
K  0.5000  0.0000  0.3711  8 K 4.40-4.46, 4 Na 4.43-4.45
K  0.5000  0.0000  0.6289  8 K 4.40-4.46, 4 Na 4.43-4.45
K  0.5000  0.0000  0.8880  2 Cd 4.16, 8 K 4.16-4.46, 2 Na 4.48
Na  0.5000  0.5000  0.2431  12 K 4.40-4.48
Na  0.5000  0.5000  0.5000  12 K 4.40-4.45
Na  0.5000  0.5000  0.7569  12 K 4.40-4.48
Cd  0.5000  0.5000  0.0000  12 K 4.16-4.40

No. 4
Compound: Te2PdCl
Source: the Alexandria database
Functional: PBE
Structure: relaxed

Its raw formation energy is -353 meV per atom. As for the space group: No. 166. The calculation puts the total magnetization at 0.0 μB/f.u.

Cell lengths 8.4120, 8.4120, 8.4120 Å; angles 28.58, 28.58, 28.58 degrees
Closest atoms and distances in Å follow each position.
Sites, in units of the cell vectors:
Te  0.1128  0.1128  0.1128  1 Cl 2.73, 3 Pd 2.73
Te  0.8872  0.8872  0.8872  1 Cl 2.73, 3 Pd 2.73
Pd  0.5000  0.5000  0.5000  6 Te 2.73
Cl  0.0000  0.0000  0.0000  2 Te 2.73

No. 5
Compound: BaPmIr
Source: the Alexandria database
Functional: PBE
Structure: relaxed

The formation energy is -0.1948 eV per atom. The relative energy among the computed polymorphs comes out at 205 meV/atom. As for the space group: No. 1. The calculation puts the total magnetization at 0.0 μB/f.u.

Cell lengths 4.1860, 4.1870, 14.5654 Å; angles 90.03, 98.22, 119.96 degrees
Closest atoms and distances in Å follow each position.
Sites, in units of the cell vectors:
Ba  0.0000  0.0000  0.0000  3 Ir 3.11
Ba  0.4790  0.2419  0.7197  6 Ba 4.19, 3 Pm 4.31-4.32
Pm  0.1673  0.0825  0.2511  6 Ir 2.93-2.99
Pm  0.6464  0.8229  0.4709  3 Ir 2.79
Ir  0.4243  0.7110  0.1361  3 Pm 2.93, 3 Ba 3.11
Ir  0.9152  0.4570  0.3738  6 Pm 2.79-2.99

No. 6
Compound: MgMnTc
Source: the Alexandria database
Functional: PBE
Structure: relaxed

The formation energy is 0.2181 eV per atom. The relative energy among the computed polymorphs comes out at 117 meV/atom. As for the space group: No. 156. The calculation puts the total magnetization at 1.0 μB/f.u.

Cell lengths 4.2619, 4.2619, 2.7125 Å; angles 90.00, 90.00, 120.00 degrees
Closest atoms and distances in Å follow each position.
Sites, in units of the cell vectors:
Mg  0.0000  0.0000  0.0000  3 Mn 2.65, 6 Tc 2.70-2.93, 2 Mg 2.71
Mn  0.6667  0.3333  0.3675  3 Tc 2.53, 3 Mg 2.65, 2 Mn 2.71
Tc  0.3333  0.6667  0.5880  3 Mn 2.53, 3 Mg 2.70, 2 Tc 2.71

Record order is preserved below.
Fermi-level density of states: 9.27, 3.38, 10.28, 1.23, 2.12, 1.66 states/eV/f.u.
Record order is preserved below.
E: -1.427, -5.824, -1.106, -3.684, -5.373, -6.825 eV/atom
Record order is preserved below.
Ρ: 2.2, 7.3, 1.1, 5.5, 7.2, 6.9 g cm⁻³